Material: Li4CoP2O8
Method: DFT, PBE with a Hubbard U
State: relaxed

Computed properties:
Energy above the most stable polymorph in this dataset: 0.000 eV/atom
Mass density: 2.70 g cm⁻³
Uncorrected energy: -6.45 eV per atom

```
60
Lattice="-6.716 4.413 -1.654 -2.010 -4.491 6.605 3.467 7.612 6.230" Properties=species:S:1:pos:R:3 pbc="T T T"
O -2.263 6.263 8.366
O -1.854 1.904 5.684
O -6.250 1.831 2.991
Li -4.760 4.315 4.836
Li 0.531 4.129 9.282
P -3.204 2.009 6.445
O -3.548 0.605 7.034
Li -2.631 -0.590 3.455
O -3.938 3.134 1.347
Li -0.584 6.345 7.181
P 2.396 5.718 7.528
Li -0.716 0.302 5.908
O -3.359 5.667 10.578
O -0.032 2.131 3.159
O 0.991 5.703 8.190
Li -2.629 8.123 7.726
P -1.991 5.810 9.832
Li -0.499 3.219 6.345
O 2.217 5.973 5.998
Co -0.250 1.159 1.442
O -1.009 1.247 9.593
Li 0.953 4.952 4.800
O -1.321 4.400 9.834
O -1.711 6.928 4.147
O 0.434 2.605 8.005
O -3.406 5.630 5.497
P 0.284 1.225 8.711
O -7.476 1.561 5.183
O -0.748 8.328 6.886
O -6.948 3.664 0.298
Co -2.955 4.801 1.790
O -4.511 -0.794 4.295
O -3.587 8.780 6.088
P -2.055 5.524 4.736
Li -3.535 -1.119 5.985
Li -3.434 5.003 7.365
O -1.672 -1.247 5.093
Li -1.825 2.530 3.817
O -4.345 2.464 5.497
P -5.543 6.309 2.470
Li -1.725 8.653 5.196
O -3.042 3.062 7.590
O 1.200 3.025 5.179
O -2.997 1.271 2.815
P -3.269 1.723 1.350
O -0.914 5.069 5.684
O -5.694 4.928 3.176
Li -4.543 7.231 5.273
Co -5.009 6.375 9.740
O -6.459 4.508 6.002
O -4.250 6.286 1.588
P -7.655 1.816 3.654
O -1.900 1.866 0.604
O -5.228 5.403 8.022
O 1.689 3.869 10.884
O -2.217 4.472 3.592
Li -4.676 1.188 4.000
Li -6.212 2.582 6.381
Co -2.305 2.732 9.391
Li -5.790 3.405 1.899
```

Material: Li2CoP4O12
Method: DFT, PBE with a Hubbard U
State: relaxed

Computed properties:
Energy above the most stable polymorph in this dataset: 0.030 eV/atom
Mass density: 2.62 g cm⁻³
Uncorrected energy: -6.82 eV per atom

```
38
Lattice="-8.999 -2.102 -0.117 0.598 -2.166 -7.110 1.915 -8.057 -2.497" Properties=species:S:1:pos:R:3 pbc="T T T"
P -2.825 -4.266 -4.504
P -0.499 -9.485 -7.718
O -7.515 -3.977 -5.337
P -7.476 -4.698 -4.009
O -1.529 -4.534 -5.398
Co -3.542 -5.080 -1.307
P -5.987 -2.840 -2.005
O -6.849 -8.087 -2.739
O -4.957 -7.791 -4.325
O -6.991 -2.563 -0.919
O -2.573 -4.937 -3.172
O -4.668 -3.325 -1.450
Li -5.587 -9.989 -7.902
P -3.662 -8.059 -5.220
O -3.913 -7.388 -6.552
O -1.819 -9.000 -8.274
O -6.607 -6.038 -4.264
O -5.118 -6.378 -2.156
Li -4.830 -5.559 -6.632
O -2.412 -7.788 -4.468
Li -0.899 -2.336 -1.822
O -0.030 -8.436 -6.640
O -6.751 -9.414 -6.552
P -0.618 -5.261 -6.459
O 0.363 -4.238 -6.985
Co 0.000 0.000 0.000
O -6.456 -3.889 -3.084
O 0.265 -2.911 -3.172
O -4.074 -4.537 -5.256
P 0.990 -7.627 -5.715
O -3.841 -9.644 -5.489
P -5.868 -7.065 -3.264
O -2.646 -2.681 -4.235
Li -1.657 -6.766 -3.092
O 0.505 -9.762 -8.805
O 1.029 -8.348 -4.386
O -1.368 -5.948 -7.568
O 0.121 -6.287 -5.459
```

Material: Li4CoP2O8
Method: DFT, PBE with a Hubbard U
State: relaxed

Computed properties:
Energy above the most stable polymorph in this dataset: 0.057 eV/atom
Mass density: 2.89 g cm⁻³
Uncorrected energy: -6.39 eV per atom

```
15
Lattice="4.824 0.069 -0.026 -0.789 5.444 0.024 -0.507 -0.773 6.050" Properties=species:S:1:pos:R:3 pbc="T T T"
O 0.395 3.240 3.005
O -0.051 2.966 5.487
O 3.133 1.499 3.044
Li 0.383 1.164 3.209
O 0.809 -0.194 4.516
O 2.718 4.933 1.533
Li 3.145 3.575 2.840
Li 0.531 2.753 1.093
O 3.579 1.773 0.562
O 1.315 0.892 1.419
P 2.856 0.896 1.650
Co 0.000 0.000 0.000
Li 2.997 1.987 4.956
O 2.213 3.848 4.630
P 0.672 3.844 4.399
```

Material: LiCoP2O7
Method: DFT, PBE with a Hubbard U
State: relaxed

Computed properties:
Energy above the most stable polymorph in this dataset: 0.009 eV/atom
Mass density: 3.04 g cm⁻³
Uncorrected energy: -6.73 eV per atom

```
44
Lattice="-6.936 -0.862 -0.883 1.376 -3.653 -7.242 3.823 -7.616 4.569" Properties=species:S:1:pos:R:3 pbc="T T T"
O -1.444 -6.571 -5.891
O 1.860 -4.875 1.307
O 1.607 -7.301 -2.368
Li -3.499 -2.959 -0.477
O 2.017 -4.772 -2.460
O -6.183 -2.177 -0.654
O -1.917 -1.792 -0.863
O 1.862 -8.345 1.398
O -0.294 -3.889 0.399
P -3.671 -6.052 -0.311
O -3.598 -3.787 -4.954
O 4.447 -9.956 -2.902
Li 1.763 -9.173 -3.080
O -1.638 -3.255 -2.927
O -1.929 -10.416 -1.291
O -4.391 -2.763 -2.333
P 1.935 -6.080 -3.246
Li -0.453 -4.558 -3.764
O -2.643 -6.137 0.812
P -2.043 -6.960 -4.537
Li -1.283 -7.574 0.208
Co 1.651 -7.765 -0.422
O 0.270 -6.330 -0.026
O 0.193 -1.716 -2.265
O -3.753 -7.360 -1.097
O -1.624 -8.129 2.109
O -2.006 -5.802 -3.530
O 0.181 -10.341 -2.694
P 3.944 -10.146 -1.472
O -0.098 -8.877 -0.629
Co -0.943 -2.146 0.884
O -3.596 -7.257 -4.863
O -0.112 -4.003 -5.665
Co -3.388 -4.367 -3.134
P -1.414 -1.872 -2.311
O -0.292 -5.561 2.335
P -5.680 -1.987 -2.084
O 0.906 -5.995 -4.369
O -1.442 -8.243 -3.955
O -3.344 -4.831 -1.188
O 2.654 -9.369 -1.224
P 0.306 -5.172 0.980
Co -0.794 -9.986 -4.440
P -0.322 -10.260 -1.245
```

Material: LiCo2P2O8
Method: DFT, PBE with a Hubbard U
State: relaxed

Computed properties:
Energy above the most stable polymorph in this dataset: 0.007 eV/atom
Mass density: 2.97 g cm⁻³
Uncorrected energy: -6.66 eV per atom

```
26
Lattice="5.172 0.000 0.000 0.000 8.406 0.083 0.000 2.460 8.124" Properties=species:S:1:pos:R:3 pbc="T T T"
O 1.012 3.920 6.934
O 0.538 6.510 1.828
O 3.390 7.399 2.368
O 1.806 1.075 1.152
O 0.999 8.491 4.023
Li 3.455 5.981 5.897
Li 1.717 4.751 1.835
O 4.633 7.740 5.890
P 4.207 6.564 1.356
O 1.555 6.378 5.321
P 0.964 7.794 5.418
O 4.162 4.591 4.620
O 3.366 2.305 5.214
O 1.010 3.361 0.558
Co 0.877 4.517 5.104
Co 4.294 3.287 1.042
Co 1.606 8.073 2.336
P 1.743 4.569 8.102
O 3.179 5.016 7.716
O 4.160 2.690 2.872
O 3.617 5.148 1.259
O 1.993 3.786 3.654
P 3.429 3.339 4.040
O 4.173 9.721 8.085
O 1.782 8.629 6.430
Co 3.566 9.303 6.398
```

Material: LiCo2P2O8
Method: DFT, PBE with a Hubbard U
State: relaxed

Computed properties:
Energy above the most stable polymorph in this dataset: 0.025 eV/atom
Mass density: 2.85 g cm⁻³
Uncorrected energy: -6.64 eV per atom

```
26
Lattice="-2.704 3.988 4.663 -4.505 -0.148 -2.485 -2.908 -8.530 5.609" Properties=species:S:1:pos:R:3 pbc="T T T"
O -3.200 -1.509 2.334
O -5.732 -4.184 6.997
Co -3.803 -0.675 -1.055
O -6.366 -7.816 3.373
P -6.458 0.203 3.610
O -4.992 0.217 4.097
Co -3.825 -1.393 4.169
P -6.394 -6.302 3.796
Li -3.693 1.667 3.889
O -2.296 -0.710 0.116
O -4.610 -3.005 5.010
O -6.737 1.567 2.861
O -7.403 0.123 4.864
O -7.671 -5.985 4.562
O -5.441 -0.505 -0.258
P -2.395 -0.402 1.670
P -5.030 -2.924 6.511
O -5.125 -5.997 4.622
Co -7.640 -1.426 5.858
Co -5.069 -5.968 6.611
O -5.983 -1.681 6.771
O -2.992 1.019 1.923
O -8.217 -2.821 4.826
O -6.739 -0.951 2.657
O -6.348 -5.417 2.486
Li -3.670 -4.778 4.145
```

Material: Li3Co2P3O12
Method: DFT, PBE with a Hubbard U
State: relaxed

Computed properties:
Energy above the most stable polymorph in this dataset: 0.000 eV/atom
Mass density: 3.17 g cm⁻³
Uncorrected energy: -6.53 eV per atom

```
80
Lattice="-1.934 -2.846 7.704 7.297 -4.845 0.042 6.123 9.262 4.578" Properties=species:S:1:pos:R:3 pbc="T T T"
P 2.966 -1.563 3.673
Li 5.341 -1.304 1.533
O 3.568 -2.622 7.896
Co 11.177 1.498 9.880
Li 4.595 -0.792 5.911
O 2.123 2.026 9.035
O 6.280 -0.044 10.046
O 4.497 -0.339 7.895
Co 3.110 -3.736 6.252
P 3.287 -1.170 8.446
O 8.904 -0.357 6.051
Co 5.670 1.111 8.604
Li 6.892 2.363 6.414
Li 5.834 4.396 4.522
O 7.090 0.613 7.342
O 4.519 2.240 9.789
O 7.918 4.193 4.429
Li 1.372 -1.369 6.083
Co 5.816 0.460 3.721
O 2.582 1.928 6.273
O 9.798 1.632 11.402
O 4.166 3.471 5.013
Li 10.115 2.940 6.241
Li 6.370 -6.019 7.997
O 6.967 -0.669 2.535
O 9.700 2.115 8.680
Co 8.376 5.307 6.072
O 5.930 -6.115 6.009
O 4.283 -1.026 3.101
O 5.206 1.615 2.278
Co 0.309 0.072 2.444
O 3.127 -1.913 5.190
O 11.110 1.099 6.353
O 6.462 -0.751 5.254
O 1.163 -3.263 6.582
O 1.986 -0.616 7.839
Li 5.117 7.590 4.328
O 9.501 2.186 4.485
Co 1.212 1.335 7.617
P 6.231 -4.681 5.453
O 5.024 2.322 7.070
P 8.364 -1.361 2.521
O 5.193 6.222 8.407
O 7.320 -1.901 7.311
O 6.607 -3.664 1.210
P 4.042 2.190 5.876
Li 6.146 2.874 10.792
O 10.323 4.834 5.742
O 5.209 -3.693 6.046
O 5.556 7.686 6.315
P 11.463 5.441 4.885
P 8.199 2.741 3.878
O 3.085 -5.222 7.604
O 8.359 3.484 7.135
O 1.786 -0.544 3.644
O 8.961 4.411 9.416
P 0.023 -3.870 7.439
O 0.376 0.472 5.971
O 4.879 5.235 11.114
O 2.525 -2.840 2.908
O 4.659 5.798 3.612
O 8.376 -2.780 3.100
P 8.521 3.133 8.651
O 6.293 -4.651 3.917
Li 5.652 -2.826 7.802
Co 10.275 0.236 4.707
O 4.397 0.957 4.983
O 6.989 1.910 4.429
Li 1.732 1.206 4.637
O 7.204 2.597 9.223
P 3.123 2.931 9.803
O 3.111 4.350 9.224
O 9.364 -0.455 3.289
Li 9.754 0.364 7.687
O 6.277 5.264 6.278
P 7.444 -0.619 6.448
P 5.256 6.251 6.871
O 6.827 -4.228 8.712
O 8.402 6.793 4.721
O 1.688 -0.062 0.922
```

Material: LiCoP2O7
Method: DFT, PBE with a Hubbard U
State: relaxed

Computed properties:
Energy above the most stable polymorph in this dataset: 0.061 eV/atom
Mass density: 2.57 g cm⁻³
Uncorrected energy: -6.67 eV per atom

```
22
Lattice="5.041 0.000 0.000 0.000 8.708 -0.115 2.521 2.641 7.034" Properties=species:S:1:pos:R:3 pbc="T T T"
O 2.990 4.612 2.144
O 6.231 3.391 3.476
O 4.681 6.416 2.074
Co 3.674 5.718 3.433
O 6.135 3.343 6.003
O 6.467 7.699 5.946
O 1.409 7.750 0.871
O 2.672 4.966 4.832
P 2.025 3.535 4.868
O 1.110 3.396 0.928
O 2.881 2.063 2.130
O 4.569 8.965 2.087
O 1.330 7.746 3.419
P 2.048 3.381 2.072
Li 2.870 6.466 6.303
P 5.512 7.734 2.014
O 3.198 2.490 4.803
Li 4.689 10.819 6.244
P 5.537 7.889 4.811
O 4.889 9.320 4.775
O 4.364 6.843 4.746
Co 3.887 1.364 3.490
```

Material: LiCoP2O6
Method: DFT, PBE with a Hubbard U
State: relaxed

Computed properties:
Mass density: 3.25 g cm⁻³
Uncorrected energy: -6.63 eV per atom

```
20
Lattice="4.970 0.026 0.027 1.606 6.787 0.117 1.606 -0.135 6.787" Properties=species:S:1:pos:R:3 pbc="T T T"
O 1.842 4.028 1.124
O 2.062 1.537 0.363
P 3.631 5.309 4.279
O 3.636 6.359 5.368
Li 5.334 5.298 1.590
O 3.461 2.512 2.271
O 4.722 4.166 4.660
P 6.115 4.092 5.478
O 4.547 0.319 1.563
O 5.945 2.189 2.608
O 2.237 4.489 4.323
O 6.120 5.142 6.567
P 2.067 2.587 1.453
Li 2.849 1.380 5.340
O 4.327 0.987 4.081
Co 5.334 0.608 6.110
O 3.855 5.692 2.850
Co 2.849 6.071 0.820
O 6.340 2.650 5.807
P 4.552 1.369 2.652
```

Material: Li2CoP4O12
Method: DFT, PBE with a Hubbard U
State: relaxed

Computed properties:
Energy above the most stable polymorph in this dataset: 0.000 eV/atom
Mass density: 2.59 g cm⁻³
Uncorrected energy: -6.85 eV per atom

```
38
Lattice="8.575 -0.031 0.072 -3.558 7.802 0.072 0.975 1.510 7.499" Properties=species:S:1:pos:R:3 pbc="T T T"
O 0.243 3.136 1.213
P 5.812 7.178 5.198
P 5.967 4.586 6.671
O 1.122 2.693 6.198
P 4.756 2.709 4.721
O 1.368 6.407 7.034
O 4.870 6.588 1.444
O 4.789 3.129 3.285
Li 3.679 1.826 1.992
O 5.721 1.648 5.205
P 0.024 4.695 0.971
O 4.832 3.989 5.696
O 4.487 7.905 5.194
Co -1.755 7.173 1.947
O 4.623 2.873 0.608
O 0.271 7.633 2.438
O 5.749 6.144 6.429
O 6.276 6.490 3.953
Li 0.637 4.859 5.741
Li 5.355 4.421 1.901
P 3.663 7.496 1.449
Co 7.747 2.107 5.696
O 7.332 4.143 6.187
Li 2.312 7.455 5.651
O 2.746 7.013 2.680
P 1.236 6.571 2.922
P 2.329 1.784 6.193
O 2.845 7.636 0.203
O -1.591 8.137 5.696
O 3.246 2.267 4.962
O 1.159 5.291 1.947
O -1.340 5.137 1.455
O 1.505 1.376 2.449
O 3.147 1.644 7.439
O -0.284 2.790 3.690
P 0.180 2.102 2.444
O 7.583 1.144 1.947
O 1.203 6.151 4.357
```